1.
Entry from Alexandria via LeMat-Bulk: a geometry-optimized La6Nd8Ho structure (GGA-PBE).

extended XYZ file:
```
15
Lattice="-0.4927 -4.4443 -8.2400 0.5576 -9.3529 -0.3220 -7.0413 -5.0429 -2.1923" Properties=species:S:1:pos:R:3 pbc="T T T"
La -5.8559 -14.9102 -6.0120
La -0.8228 -3.3025 -1.1442
La -0.7264 -6.7366 -2.4193
La -6.2500 -12.1035 -8.3349
La -6.1536 -15.5377 -9.6101
La -1.1205 -3.9300 -4.7423
Nd -4.0517 -6.7271 -3.3538
Nd -3.2317 -6.3235 -6.7945
Nd -2.5786 -9.7150 -2.0985
Nd -1.8454 -9.3168 -5.5310
Nd -5.1310 -9.5233 -5.2232
Nd -4.3978 -9.1251 -8.6557
Nd -3.7447 -12.5167 -3.9598
Nd -2.9247 -12.1131 -7.4004
Ho 0.0000 0.0000 0.0000
```

Calculated values
- space-group type = R-3 (148)

2.
Entry from Alexandria via LeMat-Bulk: a geometry-optimized La7NdHo3 structure (GGA-PBE).

extended XYZ file:
```
11
Lattice="6.6965 0.6625 -1.0188 0.0686 6.6232 0.4927 -0.2620 0.7280 8.9010" Properties=species:S:1:pos:R:3 pbc="T T T"
La 1.4617 2.2222 1.7613
La 1.6842 7.1028 5.4535
La 4.7475 3.5660 0.7788
La 1.7556 4.4476 7.5961
La -0.0967 3.6756 4.6969
La 4.8188 0.9108 2.9215
La 5.0414 5.7915 6.6137
Nd 3.2515 4.0068 4.1875
Ho 0.5080 5.5928 1.7987
Ho 3.3482 0.3312 -0.5094
Ho 5.9950 2.4208 6.5763
```

Calculated values
- relative energy among the computed polymorphs (eV/atom) = 0.000
- space-group type = P-1 (2)

3.
Entry from Alexandria via LeMat-Bulk: a geometry-optimized La7Nd3Ho2 structure (GGA-PBE).

extended XYZ file:
```
12
Lattice="-2.4885 1.5165 2.1841 -4.3818 -1.9667 -3.6270 2.3996 -15.0047 13.1524" Properties=species:S:1:pos:R:3 pbc="T T T"
La -3.2922 -7.6657 4.6077
La -1.1785 -7.7892 7.1018
La -1.7142 -3.1323 0.2218
La 0.0000 0.0000 0.0000
La -0.2680 -13.8391 9.3036
La -3.6422 -13.4459 8.2223
La -0.8286 -2.0090 3.4871
Nd -3.4352 -0.2251 -0.7215
Nd 0.2419 -5.7452 4.2648
Nd -2.2241 -11.2262 5.2606
Ho -3.1087 -4.8634 2.8710
Ho -1.3620 -10.5915 8.8384
```

Calculated values
- relative energy among the computed polymorphs (eV/atom) = 0.019
- space-group type = P2/m (10)

4.
Entry from Alexandria via LeMat-Bulk: a geometry-optimized LaNd5Ho5 structure (GGA-PBE).

extended XYZ file:
```
11
Lattice="6.1578 0.0000 0.0000 -3.0789 5.3328 0.0000 0.0000 0.0000 11.8406" Properties=species:S:1:pos:R:3 pbc="T T T"
La 0.0000 3.5552 0.0000
Nd 3.0789 1.7776 1.8612
Nd 3.0789 1.7776 9.9794
Nd 0.0000 3.5552 3.8192
Nd 0.0000 3.5552 8.0214
Nd 0.0000 0.0000 0.0000
Ho 1.5358 0.8867 5.9203
Ho 0.0000 0.0000 3.1522
Ho 3.0789 3.5594 5.9203
Ho 4.6220 0.8867 5.9203
Ho 0.0000 0.0000 8.6884
```

Calculated values
- space-group type = P-6m2 (187)

5.
Entry from Alexandria via LeMat-Bulk: a geometry-optimized La8Nd2Ho3 structure (GGA-PBE).

extended XYZ file:
```
13
Lattice="5.7829 0.0000 0.7274 0.0000 7.7506 0.0000 -1.3041 -3.8753 10.3461" Properties=species:S:1:pos:R:3 pbc="T T T"
La -0.4493 3.8753 3.5817
La 4.9281 0.0000 7.4918
La 5.4385 0.0000 3.4201
La -0.9596 3.8753 7.6534
La 1.8583 1.5484 8.5782
La 1.8583 -1.5484 8.5782
La 2.6206 5.4236 2.4953
La 2.6206 2.3269 2.4953
Nd 2.2593 0.0000 5.3360
Nd 2.2196 3.8753 5.7375
Ho 2.8915 0.0000 0.3637
Ho 0.0000 2.1842 0.0000
Ho 0.0000 5.5664 0.0000
```

Calculated values
- relative energy among the computed polymorphs (eV/atom) = 0.034
- space-group type = C2/m (12)

6.
Entry from Alexandria via LeMat-Bulk: a geometry-optimized La12Nd6Ho structure (GGA-PBE).

extended XYZ file:
```
19
Lattice="-1.7644 8.3180 2.9612 -6.9364 -4.2719 3.8350 6.3761 -2.2055 5.9625" Properties=species:S:1:pos:R:3 pbc="T T T"
La 1.5303 2.8530 5.8457
La -0.6201 -2.3885 6.2100
La -4.0106 1.9902 4.9605
La -3.8550 -1.0124 6.9130
La -1.7046 4.2290 6.5487
La 1.6859 -0.1497 7.7982
La 4.2447 0.5453 5.1780
La 0.7900 -3.1836 9.5678
La 1.1303 5.5692 8.3671
La -6.5694 1.2953 7.5807
La -3.1147 5.0242 3.1909
La -3.4550 -3.7286 4.3916
Nd 1.3688 -0.3317 3.3854
Nd -0.1478 2.7157 9.9410
Nd -1.5313 -0.6342 10.1722
Nd -3.6935 2.1722 9.3733
Nd -2.1769 -0.8751 2.8177
Nd -0.7934 2.4748 2.5865
Ho 0.0000 0.0000 0.0000
```

Calculated values
- space-group type = R-3m (166)

7.
Entry from Alexandria via LeMat-Bulk: a geometry-optimized LaNdHo2 structure (GGA-PBE).

extended XYZ file:
```
4
Lattice="3.6553 0.0000 0.0000 0.0000 3.6553 0.0000 0.0000 0.0000 10.0389" Properties=species:S:1:pos:R:3 pbc="T T T"
Nd 1.8277 1.8277 0.0000
Ho 0.0000 0.0000 7.5534
Ho 0.0000 0.0000 2.4855
La 1.8277 1.8277 5.0195
```

Calculated values
- relative energy among the computed polymorphs (eV/atom) = 0.012
- space-group type = P4/mmm (123)

8.
Entry from Alexandria via LeMat-Bulk: a geometry-optimized La4Nd2Ho structure (GGA-PBE).

extended XYZ file:
```
14
Lattice="6.9791 0.0000 0.0000 3.4896 8.4477 -1.1718 3.4896 1.6419 8.3691" Properties=species:S:1:pos:R:3 pbc="T T T"
La 3.4896 3.5857 2.4957
La 6.9791 8.5719 6.1767
La 5.0186 3.2792 5.9381
La 8.9397 3.2792 5.9381
La 5.0185 6.8104 1.2592
La 6.9791 1.5178 1.0206
La 8.9397 6.8104 1.2592
La 10.4687 6.5039 4.7015
Nd 6.9791 8.9405 2.7786
Nd 3.4896 0.0000 0.0000
Nd 6.9791 5.0448 3.5986
Nd 6.9791 1.1492 4.4187
Ho 1.7448 4.2239 -0.5859
Ho 5.2343 4.2239 -0.5859
```

Calculated values
- relative energy among the computed polymorphs (eV/atom) = 0.181
- space-group type = Imma (74)

9.
Entry from Alexandria via LeMat-Bulk: a geometry-optimized LaNd4Ho7 structure (GGA-PBE).

extended XYZ file:
```
12
Lattice="-3.2460 -1.5201 -4.7397 7.8128 -1.6471 -8.5476 -1.1031 -6.6450 -0.8385" Properties=species:S:1:pos:R:3 pbc="T T T"
La 0.0000 0.0000 0.0000
Nd -0.8718 -4.7221 -5.3388
Nd 4.3355 -5.0901 -8.7870
Nd 1.9055 -7.5677 -10.0533
Nd 1.5582 -2.2445 -4.0725
Ho 4.1002 -6.0310 -12.0493
Ho -0.6366 -3.7811 -2.0765
Ho 4.8554 -2.5128 -6.2445
Ho -1.3917 -7.2993 -7.8813
Ho 1.8625 -6.4779 -6.6483
Ho -1.6230 -0.7601 -2.3699
Ho 1.6011 -3.3343 -7.4775
```

Calculated values
- relative energy among the computed polymorphs (eV/atom) = 0.237
- space-group type = C2/m (12)

10.
Entry from Alexandria via LeMat-Bulk: a geometry-optimized LaNd3Ho3 structure (GGA-PBE).

extended XYZ file:
```
14
Lattice="0.8882 -6.2932 -6.3735 7.8997 -3.9789 -1.6668 1.4815 -8.6402 2.0414" Properties=species:S:1:pos:R:3 pbc="T T T"
La 3.5482 -6.5344 -2.0727
La 6.7212 -12.3778 -3.9262
Nd 5.2305 -7.4064 -5.4000
Nd 6.6018 -8.2188 -0.4914
Nd 2.1286 -10.0855 -2.2638
Nd 8.1407 -8.8268 -3.7350
Nd 3.6676 -10.6935 -5.5075
Nd 5.0389 -11.5059 -0.5988
Ho 3.3750 -13.2806 -2.9401
Ho 8.6109 -10.9931 -1.1884
Ho 6.7452 -10.2220 -6.8134
Ho 3.5242 -8.6903 0.8145
Ho 1.6584 -7.9192 -4.8105
Ho 6.8944 -5.6317 -3.0588
```

Calculated values
- relative energy among the computed polymorphs (eV/atom) = 0.163
- space-group type = R-3 (148)

11.
Entry from Alexandria via LeMat-Bulk: a geometry-optimized LaNd2Ho9 structure (GGA-PBE).

extended XYZ file:
```
12
Lattice="5.0499 0.0000 0.0000 0.0000 5.0499 0.0000 0.0000 0.0000 15.1567" Properties=species:S:1:pos:R:3 pbc="T T T"
La 0.0000 0.0000 0.0000
Nd 0.0000 0.0000 5.0517
Nd 0.0000 0.0000 10.1051
Ho 2.5250 2.5250 0.0000
Ho 2.5250 2.5250 5.0680
Ho 2.5250 2.5250 10.0887
Ho 2.5250 0.0000 2.5543
Ho 2.5250 0.0000 7.5784
Ho 2.5250 0.0000 12.6025
Ho 0.0000 2.5250 2.5543
Ho 0.0000 2.5250 7.5784
Ho 0.0000 2.5250 12.6025
```

Calculated values
- relative energy among the computed polymorphs (eV/atom) = 0.000
- space-group type = P4/mmm (123)

12.
Entry from Alexandria via LeMat-Bulk: a geometry-optimized La4Nd5Ho structure (GGA-PBE).

extended XYZ file:
```
10
Lattice="5.5273 0.0000 -1.2636 -0.0648 10.7311 -0.2834 -1.4313 0.1456 6.4601" Properties=species:S:1:pos:R:3 pbc="T T T"
La 3.2235 2.7315 1.3798
La 0.0771 8.0972 0.3373
La 0.8077 8.1452 3.5333
La 3.9541 2.7796 4.5759
Nd 0.5189 0.7504 2.2699
Nd 0.4911 4.7435 2.1481
Nd 3.5402 6.1333 2.7651
Nd 2.7313 5.3655 -0.7735
Nd 3.5123 10.1263 2.6432
Ho 2.7637 0.0000 -0.6318
```

Calculated values
- relative energy among the computed polymorphs (eV/atom) = 0.000
- space-group type = C2/m (12)

13.
Entry from Alexandria via LeMat-Bulk: a geometry-optimized LaNd4Ho structure (GGA-PBE).

extended XYZ file:
```
6
Lattice="-0.5518 1.0896 -6.6226 -6.0801 0.7747 -2.7899 -1.9180 6.0432 -2.2699" Properties=species:S:1:pos:R:3 pbc="T T T"
Nd -4.3855 1.9049 -6.1691
Nd -2.2884 4.5594 -5.9071
Nd -5.3519 4.9498 -7.3128
Nd -5.0739 4.4008 -3.9759
Ho 0.0000 0.0000 0.0000
La -2.1375 1.9769 -2.9206
```

Calculated values
- relative energy among the computed polymorphs (eV/atom) = 0.225
- space-group type = F-43m (216)

14.
Entry from Alexandria via LeMat-Bulk: a geometry-optimized LaNd5Ho2 structure (GGA-PBE).

extended XYZ file:
```
8
Lattice="3.5481 -0.0002 -0.7054 -0.9604 10.2772 -4.8343 -0.1102 -2.2230 8.7328" Properties=species:S:1:pos:R:3 pbc="T T T"
La 0.0000 0.0000 0.0000
Nd -0.4802 5.1386 -2.4172
Nd 1.8275 3.5496 -0.0786
Nd 0.6499 4.5044 3.2716
Nd 1.3861 8.2727 -2.3002
Nd 1.0912 -0.2187 5.4933
Ho 0.1250 6.6361 0.6462
Ho 2.3524 1.4179 2.5468
```

Calculated values
- relative energy among the computed polymorphs (eV/atom) = 0.017
- space-group type = Immm (71)

15.
Entry from Alexandria via LeMat-Bulk: a geometry-optimized LaNd8Ho4 structure (GGA-PBE).

extended XYZ file:
```
13
Lattice="-5.9043 -4.4065 -0.8689 5.0092 0.6048 -5.4382 7.0879 -4.4423 6.0347" Properties=species:S:1:pos:R:3 pbc="T T T"
La 6.0486 -1.9187 0.2983
Nd 3.0327 -3.5390 -2.6600
Nd 3.1601 -4.7050 2.3875
Nd 0.4149 -3.3783 0.0064
Nd 0.3643 -7.1880 2.3099
Nd 5.7779 -4.8656 -0.2788
Nd 3.1104 -6.8565 -0.6714
Nd 3.0824 -1.3875 0.3990
Nd 5.8285 -1.0559 -2.5823
Ho 0.0000 0.0000 0.0000
Ho 2.5046 0.3024 -2.7191
Ho -0.4475 -1.9008 -3.1536
Ho -2.9521 -2.2032 -0.4345
```

Calculated values
- space-group type = R-3m (166)

16.
Entry from Alexandria via LeMat-Bulk: a geometry-optimized La3Nd2Ho6 structure (GGA-PBE).

extended XYZ file:
```
11
Lattice="5.9506 0.0000 1.7800 2.9753 5.3944 0.8900 -1.2980 0.0000 11.6446" Properties=species:S:1:pos:R:3 pbc="T T T"
La 0.0000 0.0000 0.0000
La 2.9753 1.7692 0.8900
La 5.9507 3.6252 1.7800
Nd 2.3263 3.6011 6.7123
Nd 5.3016 1.7933 7.6023
Ho 3.5000 3.6002 10.0422
Ho 3.4910 0.0000 10.0460
Ho 0.5247 1.7942 9.1522
Ho 1.1616 0.0000 3.3786
Ho 4.1279 1.7942 4.2724
Ho 7.1033 3.6002 5.1624
```

Calculated values
- space-group type = C2/m (12)

17.
Entry from Alexandria via LeMat-Bulk: a geometry-optimized La7Nd3Ho2 structure (GGA-PBE).

extended XYZ file:
```
12
Lattice="-0.6542 -3.4419 0.8403 5.8372 -0.3666 3.0431 -3.4797 4.9434 17.5384" Properties=species:S:1:pos:R:3 pbc="T T T"
La -0.7501 0.7097 10.0467
La 2.4533 0.4252 11.3752
La 2.6745 0.6308 4.6660
La 0.0000 0.0000 0.0000
La -0.3170 3.9460 15.9155
La 2.3397 2.0250 17.8396
La -0.6365 -0.8901 3.5823
Nd 2.5915 -1.9042 1.9417
Nd -0.4778 1.6193 6.2607
Nd 2.8352 2.9574 14.3208
Ho 2.0944 -0.3106 8.0819
Ho -0.3912 1.4456 13.3400
```

Calculated values
- relative energy among the computed polymorphs (eV/atom) = 0.000
- space-group type = P2/m (10)

18.
Entry from Alexandria via LeMat-Bulk: a geometry-optimized La2Nd4Ho5 structure (GGA-PBE).

extended XYZ file:
```
11
Lattice="5.6650 0.0000 -1.3819 -0.3217 6.3531 -1.3186 -0.5150 1.5150 10.1912" Properties=species:S:1:pos:R:3 pbc="T T T"
La 1.7180 4.1138 7.0426
La 3.1104 3.7542 0.4480
Nd 1.1108 6.7917 4.5536
Nd 4.7724 6.0989 7.2612
Nd 3.7175 1.0763 2.9371
Nd 0.0560 1.7691 0.2294
Ho 3.9715 4.7081 3.9784
Ho 0.8568 3.1599 3.5123
Ho 4.4950 1.9093 6.1243
Ho 2.8325 0.0000 -0.6910
Ho 0.3333 5.9588 1.3663
```

Calculated values
- relative energy among the computed polymorphs (eV/atom) = 0.000
- space-group type = C2/m (12)

19.
Entry from Alexandria via LeMat-Bulk: a geometry-optimized La7NdHo4 structure (GGA-PBE).

extended XYZ file:
```
12
Lattice="-2.3950 -5.4440 1.3518 2.6714 -6.3119 -6.9264 6.3206 -5.6876 2.0527" Properties=species:S:1:pos:R:3 pbc="T T T"
La 3.8836 -12.9556 -4.0149
La 2.7133 -4.4879 0.4930
La 3.0011 -5.4955 -3.0547
La 3.5958 -11.9480 -0.4671
La 6.5654 -10.5242 -3.2313
La -1.1975 -2.7220 0.6759
La 0.0314 -6.9194 -0.2906
Nd 0.0000 0.0000 0.0000
Ho 3.0537 -8.2095 -0.1317
Ho 3.5432 -9.2340 -3.3902
Ho 0.2951 -7.8141 -3.4268
Ho 6.3018 -9.6294 -0.0951
```

Calculated values
- relative energy among the computed polymorphs (eV/atom) = 0.182
- space-group type = C2/m (12)

20.
Entry from Alexandria via LeMat-Bulk: a geometry-optimized La4Nd5Ho4 structure (GGA-PBE).

extended XYZ file:
```
13
Lattice="5.0234 0.0000 1.2772 2.5101 9.3107 0.6448 0.2167 0.0033 9.6648" Properties=species:S:1:pos:R:3 pbc="T T T"
La 5.9400 4.2879 8.1895
La 3.9666 2.8448 5.4335
La 1.8103 5.0261 3.3973
La 3.7836 6.4692 6.1533
Nd 5.7713 7.9308 8.8530
Nd 1.9790 1.3831 2.7338
Nd 0.0000 0.0000 0.0000
Nd 4.6817 7.1508 2.6211
Nd 3.0686 2.1631 8.9657
Ho 4.8455 3.5828 1.9766
Ho 2.9047 5.7312 9.6102
Ho 6.6507 8.5930 5.3943
Ho 1.0996 0.7209 6.1926
```

Calculated values
- space-group type = C2/m (12)

no.,E_tot (eV for the cell shown),formation energy from the elements (meV/atom)
1,-70.81,98
2,-51.61,125
3,-56.93,85
4,-48.58,280
5,-60.46,172
6,-90.28,107
7,-18.75,26
8,-64.92,195
9,-53.03,251
10,-63.25,191
11,-55.35,26
12,-46.59,153
13,-27.11,244
14,-37.68,30
15,-59.24,165
16,-49.73,187
17,-57.16,66
18,-50.75,97
19,-55.23,195
20,-61.57,23